Record 1
This record from Alexandria describes a geometry-optimized Sr2Ca4In structure. The functional is PBE.

```
Sr2Ca4In
1.0
-3.006 3.006 9.568
3.006 -3.006 9.568
3.006 3.006 -9.568
Sr Ca In
2 4 1
direct
0.134 0.134 0.000 Sr
0.866 0.866 0.000 Sr
0.000 0.500 0.500 Ca
0.338 0.338 0.000 Ca
0.500 0.000 0.500 Ca
0.662 0.662 0.000 Ca
0.500 0.500 0.000 In
```

## Properties
SG	No. 139
E_tot	-1.904	eV per atom
theoretical density	2.2	g/cm3
calculated volume	345.8	Å³/cell
calculated formation energy	0.112	eV per atom
N(E_F)	8.9	states/eV per cell
M_tot	0.00	μB/f.u.

Record 2
This record from Alexandria describes a geometry-optimized Rb2NbPbBr6 structure. The functional is PBE.

```
Rb2NbPbBr6
1.0
0.000 5.708 5.708
5.708 0.000 5.708
5.708 5.708 0.000
Rb Nb Pb Br
2 1 1 6
direct
0.250 0.250 0.250 Rb
0.750 0.750 0.750 Rb
0.000 0.000 0.000 Nb
0.500 0.500 0.500 Pb
0.238 0.238 0.762 Br
0.238 0.762 0.238 Br
0.238 0.762 0.762 Br
0.762 0.238 0.238 Br
0.762 0.238 0.762 Br
0.762 0.762 0.238 Br
```

## Properties
SG	No. 225
E_tot	-3.643	eV per atom
theoretical density	4.2	g/cm3
calculated volume	372.0	Å³/cell
N(E_F)	0.0	states/eV per cell
M_tot	3.00	μB/f.u.
formation energy without anion corrections	-1.0677	eV per atom

The lowest N(E_F) belongs to which entry?
Rb2NbPbBr6

What is the formula in the first record?
Sr2Ca4In